1.
Compound: Mn3ZnAg
Source: the Alexandria database
Functional: PBE-GGA
Structure: optimized geometry

The structure in POSCAR format:
```
Mn3ZnAg
1.0
4.618 0.000 0.000
0.000 4.618 0.000
0.000 0.000 4.618
Mn Zn Ag
3 1 1
Cartesian
0.000 0.000 2.309
0.000 2.309 0.000
2.309 0.000 0.000
0.000 0.000 0.000
2.309 2.309 2.309
```

Computed properties:
The total magnetization comes out at 11.914 μB per cell. The excess energy over the best structure of this formula in the dataset comes out at 0 meV per atom. The uncorrected energy is -5.3604 eV per atom. The calculation puts the calculated formation energy at 0.966 eV per atom. The value obtained for the calculated density is 5.70 g/cm³.

=====

2.
Compound: MnZnAg3
Source: the Alexandria database
Functional: PBE-GGA
Structure: optimized geometry

The structure in POSCAR format:
```
MnZnAg3
1.0
4.789 0.000 0.000
0.000 4.789 0.000
0.000 0.000 4.789
Mn Zn Ag
1 1 3
Cartesian
0.000 0.000 0.000
2.394 2.394 2.394
0.000 2.394 2.394
2.394 0.000 2.394
2.394 2.394 0.000
```

Computed properties:
The total magnetization comes out at 4.490 μB per cell. The excess energy over the best structure of this formula in the dataset comes out at 0 meV per atom. The uncorrected energy is -3.0832 eV per atom. The calculation puts the calculated formation energy at 0.716 eV per atom. The value obtained for the calculated density is 6.71 g/cm³.

=====

3.
Compound: ZrMn2ZnAg
Source: the Alexandria database
Functional: PBE-GGA
Structure: optimized geometry

The structure in POSCAR format:
```
ZrMn2ZnAg
1.0
4.621 0.000 0.000
0.000 4.621 0.000
0.000 0.000 4.653
Zr Mn Zn Ag
1 2 1 1
Cartesian
0.000 0.000 0.000
0.000 2.311 2.326
2.311 0.000 2.326
2.311 2.311 2.326
2.311 2.311 0.000
```

Computed properties:
The total magnetization comes out at 6.016 μB per cell. The uncorrected energy is -5.4317 eV per atom. The calculation puts the calculated formation energy at 0.771 eV per atom. The value obtained for the calculated density is 6.26 g/cm³.

=====

4.
Compound: Zr2MnAg
Source: the Alexandria database
Functional: PBE-GGA
Structure: optimized geometry

The structure in POSCAR format:
```
Zr2MnAg
1.0
-2.064 2.064 4.500
2.064 -2.064 4.500
2.064 2.064 -4.500
Zr Mn Ag
2 1 1
Cartesian
0.000 0.000 0.000
0.000 2.064 2.250
0.000 0.000 4.500
2.064 0.000 2.250
```

Computed properties:
The total magnetization comes out at 1.859 μB per cell. The uncorrected energy is -7.1479 eV per atom. The calculation puts the calculated formation energy at 0.131 eV per atom. The value obtained for the calculated density is 7.47 g/cm³.